Entry 1:
Compound: TbAgSe
Source: Alexandria
Functional: PBE
Structure: relaxed

Calculated values
energy relative to the elements, uncorrected = -96.0 kJ/mol of atoms

Lattice parameters (Å, degrees): 8.4500 8.4500 8.4500 32.34 32.34 32.34
Last column: nearest neighbours and their distance in Å.
Sites, in units of the cell vectors:
Tb: 0.0848 0.0848 0.0848  4 Se 2.86-3.04
Tb: 0.9152 0.9152 0.9152  4 Se 2.86-3.04
Ag: 0.3327 0.3327 0.3327  3 Ag 2.72, 1 Se 2.91
Ag: 0.6673 0.6673 0.6673  3 Ag 2.72, 1 Se 2.91
Se: 0.2114 0.2114 0.2114  4 Tb 2.86-3.04, 1 Ag 2.91
Se: 0.7886 0.7886 0.7886  4 Tb 2.86-3.04, 1 Ag 2.91

Entry 2:
Compound: MnFe2Br
Source: Alexandria
Functional: PBE
Structure: relaxed

Calculated values
energy above the lowest structure with this stoichiometry = 0.2623 eV per atom
energy relative to the elements, uncorrected = 59.3 kJ/mol of atoms

Lattice parameters (Å, degrees): 4.7137 4.7137 4.5236 98.32 98.32 37.58
Last column: nearest neighbours and their distance in Å.
Sites, in units of the cell vectors:
Mn: 0.0000 0.0000 0.0000  6 Fe 2.58-2.75, 4 Br 2.72
Fe: 0.2505 0.2505 0.7832  2 Fe 2.48, 3 Mn 2.58-2.75, 1 Br 2.73
Fe: 0.7495 0.7495 0.2168  2 Fe 2.48, 3 Mn 2.58-2.75, 1 Br 2.73
Br: 0.5000 0.5000 0.5000  4 Mn 2.72, 6 Fe 2.73-2.84, 2 Br 3.04

Entry 3:
Compound: Th2TlPt
Source: Alexandria
Functional: PBE
Structure: relaxed

Calculated values
ΔH_f (0 K) = -0.532 eV/atom
energy above the lowest structure with this stoichiometry = 0.0569 eV per atom

Lattice parameters (Å, degrees): 9.0016 9.0016 9.0016 25.65 25.65 25.65
Last column: nearest neighbours and their distance in Å.
Sites, in units of the cell vectors:
Th: 0.0000 0.0000 0.0000  3 Pt 2.90
Th: 0.1964 0.1964 0.1964  3 Pt 2.94
Tl: 0.4321 0.4321 0.4321  6 Th 3.44-3.46
Pt: 0.5995 0.5995 0.5995  6 Th 2.90-2.94

Entry 4:
Compound: InCuH
Source: Alexandria
Functional: PBE
Structure: relaxed

Calculated values
energy above the lowest structure with this stoichiometry = 0.0000 eV per atom

Lattice parameters (Å, degrees): 3.1698 4.6714 6.5300 82.95 89.28 70.67
Last column: nearest neighbours and their distance in Å.
Sites, in units of the cell vectors:
In: 0.0000 0.0000 0.0000  3 H 2.67-2.96, 3 Cu 2.83-2.85
In: 0.2199 0.5263 0.6885  1 H 2.61, 2 Cu 2.84-2.85
Cu: 0.6094 0.7662 0.3439  2 H 1.62-1.65
Cu: 0.8943 0.1985 0.3984  3 H 1.67-1.74
H: 0.4580 0.0641 0.4748  3 Cu 1.65-1.74
H: 0.7526 0.4864 0.2059  2 Cu 1.62-1.67